(1)
# PBE-GGA LaNi2Br, optimized geometry
# - formation energy without anion corrections (eV/atom) = -0.04
# - distance to the lowest polymorph of the same formula (meV per atom) = 434
# - raw total energy (eV per atom) = -4.5853
# - crystal system = orthorhombic
data_LaNi2Br
_chemical_formula_sum 'La2 Ni4 Br2'
_space_group_name_H-M_alt 'I m m m'
_space_group_IT_number 71
_space_group_name_Hall '-I 2 2'
_cell_length_a 3.4904
_cell_length_b 4.7787
_cell_length_c 9.4471
_cell_angle_alpha 90.00
_cell_angle_beta 90.00
_cell_angle_gamma 90.00
loop_
_atom_site_label
_atom_site_fract_x
_atom_site_fract_y
_atom_site_fract_z
_atom_site_occupancy
La1 0.0000 0.0000 0.0000 1
Ni1 0.0000 0.5000 0.2452 1
Br1 0.0000 0.0000 0.5000 1

=====

(2)
# PBE-GGA SrInGaHIr, optimized geometry
# - distance to the lowest polymorph of the same formula (meV per atom) = 130
# - raw total energy (eV per atom) = -4.2613
# - crystal system = monoclinic
data_SrInGaHIr
_chemical_formula_sum 'Sr2 In2 Ga2 H2 Ir2'
_space_group_name_H-M_alt 'C 1 m 1'
_space_group_IT_number 8
_cell_length_a 7.4347
_cell_length_b 4.3258
_cell_length_c 6.7269
_cell_angle_alpha 90.00
_cell_angle_beta 111.98
_cell_angle_gamma 90.00
loop_
_space_group_symop_operation_xyz
'x,y,z'
'x,-y,z'
'x+1/2,y+1/2,z'
'x+1/2,-y+1/2,z'
loop_
_atom_site_label
_atom_site_fract_x
_atom_site_fract_y
_atom_site_fract_z
_atom_site_occupancy
Sr1 0.0000 0.0000 0.0000 1
In1 0.2010 0.0000 0.6029 1
Ga1 0.2759 0.5000 0.3231 1
H1 0.1756 0.5000 0.0320 1
Ir1 0.4760 0.0000 0.4251 1

=====

(3)
# PBE-GGA RbSi2Ag2, optimized geometry
# - formation energy without anion corrections (eV/atom) = 0.16
# - distance to the lowest polymorph of the same formula (meV per atom) = 0
# - raw total energy (eV per atom) = -3.3429
# - crystal system = tetragonal
data_RbSi2Ag2
_chemical_formula_sum 'Rb2 Si4 Ag4'
_space_group_name_H-M_alt 'I 4/m m m'
_space_group_IT_number 139
_space_group_name_Hall '-I 4 2'
_cell_length_a 4.7583
_cell_length_b 4.7583
_cell_length_c 9.8889
_cell_angle_alpha 90.00
_cell_angle_beta 90.00
_cell_angle_gamma 90.00
loop_
_atom_site_label
_atom_site_fract_x
_atom_site_fract_y
_atom_site_fract_z
_atom_site_occupancy
Rb1 0.0000 0.0000 0.0000 1
Si1 0.0000 0.0000 0.3824 1
Ag1 0.0000 0.5000 0.2500 1